Entry 1:
PBE-GGA KMn2Te, relaxed; space group = No. 10; raw formation energy = 522.1 meV per atom; total energy = -5.122 eV/atom
1.0
3.222 0.000 0.000
0.000 4.988 0.000
-0.853 0.000 6.560
K Mn Te
1 2 1
Direct
0.000 0.000 0.000 K
0.305 0.500 0.663 Mn
0.695 0.500 0.337 Mn
0.500 0.000 0.500 Te

***

Entry 2:
PBE-GGA PmB2Rh3, relaxed; space group = No. 191; total energy = -7.035 eV/atom
1.0
8.983 0.000 0.000
-4.491 7.779 0.000
0.000 0.000 3.577
Pm B Rh
3 6 9
Direct
0.000 0.000 0.000 Pm
0.333 0.667 0.500 Pm
0.667 0.333 0.500 Pm
0.188 0.375 0.000 B
0.188 0.812 0.000 B
0.375 0.188 0.000 B
0.625 0.812 0.000 B
0.812 0.188 0.000 B
0.812 0.625 0.000 B
0.000 0.284 0.500 Rh
0.000 0.500 0.000 Rh
0.000 0.716 0.500 Rh
0.284 0.000 0.500 Rh
0.284 0.284 0.500 Rh
0.500 0.000 0.000 Rh
0.500 0.500 0.000 Rh
0.716 0.000 0.500 Rh
0.716 0.716 0.500 Rh

***

Entry 3:
PBE-GGA DySc2Pd3, relaxed; space group = No. 123; total energy = -6.359 eV/atom
1.0
3.351 0.000 0.000
0.000 3.351 0.000
0.000 0.000 10.281
Dy Sc Pd
1 2 3
Direct
0.000 0.000 0.000 Dy
0.000 0.000 0.340 Sc
0.000 0.000 0.660 Sc
0.500 0.500 0.187 Pd
0.500 0.500 0.500 Pd
0.500 0.500 0.813 Pd

***

Entry 4:
PBE-GGA AlRhPb, relaxed; space group = No. 187; total energy = -5.049 eV/atom
1.0
4.331 0.000 0.000
-2.165 3.750 0.000
0.000 0.000 3.666
Al Rh Pb
1 1 1
Direct
0.000 0.000 0.000 Al
0.333 0.667 0.000 Rh
0.667 0.333 0.500 Pb

***

Entry 5:
PBE-GGA Ga5CuPd6, relaxed; space group = No. 10; total energy = -4.735 eV/atom
1.0
4.252 0.000 0.000
0.000 6.489 0.000
-2.033 0.000 6.437
Ga Cu Pd
5 1 6
Direct
0.000 0.000 0.000 Ga
0.329 0.000 0.660 Ga
0.344 0.500 0.692 Ga
0.656 0.500 0.308 Ga
0.671 0.000 0.340 Ga
0.000 0.500 0.000 Cu
0.171 0.256 0.339 Pd
0.171 0.744 0.339 Pd
0.500 0.231 0.000 Pd
0.500 0.769 0.000 Pd
0.829 0.256 0.661 Pd
0.829 0.744 0.661 Pd

***

Entry 6:
PBE-GGA MgGaAg14, relaxed; space group = No. 38; total energy = -2.795 eV/atom
1.0
9.615 0.000 0.000
0.000 2.953 5.032
0.000 -2.953 5.032
Mg Ga Ag
1 1 14
Direct
0.000 0.000 0.000 Mg
0.000 0.504 0.504 Ga
0.000 0.000 0.502 Ag
0.000 0.502 0.000 Ag
0.248 0.330 0.830 Ag
0.248 0.830 0.330 Ag
0.249 0.331 0.331 Ag
0.252 0.831 0.831 Ag
0.500 0.162 0.162 Ag
0.500 0.164 0.662 Ag
0.500 0.662 0.164 Ag
0.500 0.662 0.662 Ag
0.748 0.831 0.831 Ag
0.751 0.331 0.331 Ag
0.752 0.330 0.830 Ag
0.752 0.830 0.330 Ag

***

Entry 7:
PBE-GGA BaCa2W, relaxed; space group = No. 141; total energy = -3.141 eV/atom
1.0
-2.996 2.996 10.555
2.996 -2.996 10.555
2.996 2.996 -10.555
Ba Ca W
2 4 2
Direct
0.375 0.625 0.750 Ba
0.625 0.375 0.250 Ba
0.000 0.000 0.000 Ca
0.000 0.000 0.500 Ca
0.000 0.500 0.000 Ca
0.500 0.000 0.500 Ca
0.125 0.875 0.250 W
0.875 0.125 0.750 W

***

Entry 8:
PBE-GGA CrReHRu2, relaxed; space group = No. 123; total energy = -8.664 eV/atom
1.0
3.842 0.000 0.000
0.000 3.842 0.000
0.000 0.000 3.889
Cr Re H Ru
1 1 1 2
Direct
0.000 0.000 0.000 Cr
0.500 0.500 0.000 Re
0.500 0.500 0.500 H
0.000 0.500 0.500 Ru
0.500 0.000 0.500 Ru

***

Entry 9:
PBE-GGA PuNiHg, relaxed; space group = No. 216; total energy = -6.781 eV/atom
1.0
0.000 3.250 3.250
3.250 0.000 3.250
3.250 3.250 0.000
Pu Ni Hg
1 1 1
Direct
0.000 0.000 0.000 Pu
0.250 0.250 0.250 Ni
0.500 0.500 0.500 Hg

***

Entry 10:
PBE-GGA LiNb3Se, relaxed; space group = No. 221; raw formation energy = 752.5 meV per atom; total energy = -6.369 eV/atom
1.0
4.801 0.000 0.000
0.000 4.801 0.000
0.000 0.000 4.801
Li Nb Se
1 3 1
Direct
0.000 0.000 0.000 Li
0.000 0.500 0.500 Nb
0.500 0.000 0.500 Nb
0.500 0.500 0.000 Nb
0.500 0.500 0.500 Se

***

Entry 11:
PBE-GGA YSc2Ni2, relaxed; space group = No. 36; total energy = -6.480 eV/atom
1.0
1.810 -6.436 0.000
1.810 6.436 0.000
0.000 0.000 8.543
Y Sc Ni
2 4 4
Direct
0.091 0.909 0.500 Y
0.909 0.091 0.000 Y
0.186 0.814 0.131 Sc
0.388 0.612 0.348 Sc
0.612 0.388 0.848 Sc
0.814 0.186 0.631 Sc
0.260 0.740 0.836 Ni
0.450 0.550 0.678 Ni
0.550 0.450 0.178 Ni
0.740 0.260 0.336 Ni

***

Entry 12:
PBE-GGA La2FeAgGe, relaxed; space group = No. 123; total energy = -5.431 eV/atom
1.0
5.309 0.000 0.000
0.000 5.309 0.000
0.000 0.000 4.526
La Fe Ag Ge
2 1 1 1
Direct
0.000 0.500 0.000 La
0.500 0.000 0.000 La
0.000 0.000 0.000 Fe
0.500 0.500 0.500 Ag
0.000 0.000 0.500 Ge

***

Number 1: mass density 4.36 g/cm³, V 26.4 Å³/atom, density of states at the Fermi level 2.63 states/eV per cell. Number 2: mass density 9.47 g/cm³, V 13.9 Å³/atom, density of states at the Fermi level 15.65 states/eV per cell. Number 3: mass density 8.22 g/cm³, V 19.2 Å³/atom, density of states at the Fermi level 4.19 states/eV per cell. Number 4: mass density 9.40 g/cm³, V 19.8 Å³/atom, density of states at the Fermi level 1.46 states/eV per cell. Number 5: mass density 9.82 g/cm³, V 14.8 Å³/atom, density of states at the Fermi level 4.01 states/eV per cell. Number 6: mass density 9.32 g/cm³, V 17.9 Å³/atom, density of states at the Fermi level 6.52 states/eV per cell. Number 7: mass density 3.52 g/cm³, V 47.4 Å³/atom, density of states at the Fermi level 12.88 states/eV per cell. Number 8: mass density 12.76 g/cm³, V 11.5 Å³/atom, density of states at the Fermi level 5.53 states/eV per cell. Number 9: mass density 12.18 g/cm³, V 22.9 Å³/atom, density of states at the Fermi level 13.20 states/eV per cell. Number 10: mass density 5.47 g/cm³, V 22.1 Å³/atom, density of states at the Fermi level 6.28 states/eV per cell. Number 11: mass density 4.94 g/cm³, V 19.9 Å³/atom, density of states at the Fermi level 11.07 states/eV per cell. Number 12: mass density 6.69 g/cm³, V 25.5 Å³/atom, density of states at the Fermi level 3.74 states/eV per cell.